#one
DFT (PBE) results for crystalline LaTaP2 at its relaxed geometry.

a b c (Å): 4.8093 3.6857 9.8908
angles (deg): 90.00 90.00 90.00
With the nearest neighbours (Å) after each atom.
Space group Amm2 (No. 38)
Symmetry-distinct sites (fractional):
La1 0.0000 0.0000 0.0000 (multiplicity 2)  3 P 2.78-2.84
Ta1 0.5000 0.0000 0.2685 (multiplicity 2)  4 P 2.41-2.60
P1 0.0000 0.0000 0.2815 (multiplicity 2)  2 Ta 2.41
P2 0.5000 0.0000 0.5834 (multiplicity 2)  2 Ta 2.60

Calculated values
density of states at the Fermi level: 1.000 states/eV/f.u.

=====

#two
DFT (PBE) results for crystalline LaTaP2 at its relaxed geometry.

a b c (Å): 3.8360 3.8360 19.3513
angles (deg): 90.00 90.00 120.00
With the nearest neighbours (Å) after each atom.
Space group R-3m (No. 166, hexagonal axes)
Symmetry-distinct sites (fractional):
La1 0.0000 0.0000 0.0000 (multiplicity 3)  6 P 2.91
Ta1 0.0000 0.0000 0.5000 (multiplicity 3)  6 P 2.59
P1 0.0000 0.0000 0.2356 (multiplicity 6)  3 Ta 2.59

Calculated values
density of states at the Fermi level: 1.821 states/eV/f.u.

=====

#three
DFT (PBE) results for crystalline LaTaP2 at its relaxed geometry.

a b c (Å): 3.7479 3.7479 20.4006
angles (deg): 90.00 90.00 120.00
With the nearest neighbours (Å) after each atom.
Space group R3m (No. 160, hexagonal axes)
Symmetry-distinct sites (fractional):
La1 0.0000 0.0000 0.0000 (multiplicity 3)  6 P 2.86-3.04
Ta1 0.0000 0.0000 0.8234 (multiplicity 3)  6 P 2.54-2.61
P1 0.0000 0.0000 0.2286 (multiplicity 3)  3 Ta 2.61
P2 0.0000 0.0000 0.4251 (multiplicity 3)  3 Ta 2.54

Calculated values
density of states at the Fermi level: 1.582 states/eV/f.u.

=====

#four
DFT (PBE) results for crystalline LaTaP2 at its relaxed geometry.

a b c (Å): 3.4443 3.5617 13.4705
angles (deg): 90.00 90.00 90.00
With the nearest neighbours (Å) after each atom.
Space group Imm2 (No. 44)
Symmetry-distinct sites (fractional):
La1 0.0000 0.0000 0.0000 (multiplicity 2)  6 P 2.93-3.02
Ta1 0.0000 0.5000 0.7514 (multiplicity 2)  6 P 2.48-2.65
P1 0.0000 0.0000 0.3843 (multiplicity 2)  2 Ta 2.48
P2 0.0000 0.5000 0.1810 (multiplicity 2)  4 Ta 2.65

Calculated values
density of states at the Fermi level: 2.819 states/eV/f.u.

=====

Which one is the least stable? From the structures above, #one.